Computed, not measured: crystalline TiMo3O at its relaxed geometry at the PBE with a Hubbard U level of DFT.

abc: 4.842 4.842 4.842
angles: 90.00 90.00 90.00
Atoms (fractional coordinates):
Ti 0.000 0.000 0.000
Mo 0.000 0.000 0.500
Mo 0.000 0.500 0.000
Mo 0.500 0.000 0.000
O 0.500 0.500 0.500

Properties
Crystal system   cubic
Magnetization   7.218 μB/cell
Final energy   -4.419 eV per atom
DOS at the Fermi energy   0.62 states/eV per atom
Excess energy over the best structure of this formula in the dataset   1896 meV/atom